No. 1
4
Lattice="2.083 1.202 8.091 -2.083 1.202 8.091 0.000 -2.405 8.091" Properties=species:S:1:pos:R:3 comment="LaErIrI (GGA-PBE, relaxed)" dos_at_fermi_per_ev_atom=0.243 total_energy_ev_per_fu=-24.0 raw_formation_energy_ev_per_atom=-1.019 pbc="T T T"
La 0.000 0.000 0.000
Er 0.000 0.000 5.170
Ir 0.000 0.000 14.639
I 0.000 0.000 18.885

=====

No. 2
7
Lattice="-2.584 2.584 8.396 2.584 -2.584 8.396 2.584 2.584 -8.396" Properties=species:S:1:pos:R:3 comment="La2ErIr2I2 (GGA-PBE, relaxed)" dos_at_fermi_per_ev_atom=0.474 total_energy_ev_per_fu=-40.7 raw_formation_energy_ev_per_atom=-0.775 pbc="T T T"
La 0.000 0.000 1.735
La 0.000 0.000 15.057
Er 0.000 0.000 8.396
Ir 2.584 0.000 0.000
Ir 0.000 2.584 0.000
I 0.000 0.000 5.201
I 0.000 0.000 11.591

=====

No. 3
4
Lattice="2.078 1.200 8.001 -2.078 1.200 8.001 0.000 -2.399 8.001" Properties=species:S:1:pos:R:3 comment="NdErIrI (GGA-PBE, relaxed)" dos_at_fermi_per_ev_atom=0.139 total_energy_ev_per_fu=-23.5 raw_formation_energy_ev_per_atom=-0.951 pbc="T T T"
Nd 0.000 0.000 0.000
Er 0.000 0.000 5.120
Ir 0.000 0.000 14.475
I 0.000 0.000 18.630

=====

No. 4
4
Lattice="2.070 1.195 7.944 -2.070 1.195 7.944 0.000 -2.390 7.944" Properties=species:S:1:pos:R:3 comment="SmErIrI (GGA-PBE, relaxed)" dos_at_fermi_per_ev_atom=0.105 total_energy_ev_per_fu=-23.5 raw_formation_energy_ev_per_atom=-0.957 pbc="T T T"
Sm 0.000 0.000 0.000
Er 0.000 0.000 5.097
Ir 0.000 0.000 14.404
I 0.000 0.000 18.494